Ga2Bi2Sb after structural relaxation. Source: Alexandria via LeMat-Bulk, functional GGA-PBE.

a b c (Å): 9.075 9.075 3.375
angles (deg): 90.00 90.00 90.00
Space group P4/mbm (No. 127)
Asymmetric unit:
1 Ga 0.111 0.389 0.000 [4 per cell]
2 Bi 0.186 0.686 0.500 [4 per cell]
3 Sb 0.000 0.000 0.500 [2 per cell]

DOS(E_F) = 0.504 states/eV/atom
Uncorrected formation energy = 0.12 eV per atom